An optimized crystal structure of Cs2Cr2O7, computed with PBE with a Hubbard U.

a = 7.087 Å, b = 7.087 Å, c = 5.433 Å
α = 94.95°, β = 94.95°, γ = 104.93°
Fractional positions:
Cs (0.204, 0.796, 0.000)
Cs (0.796, 0.204, 0.000)
Cr (0.301, 0.301, 0.552)
Cr (0.699, 0.699, 0.448)
O (0.148, 0.387, 0.709)
O (0.187, 0.187, 0.285)
O (0.387, 0.148, 0.709)
O (0.500, 0.500, 0.500)
O (0.613, 0.852, 0.291)
O (0.813, 0.813, 0.715)
O (0.852, 0.613, 0.291)

Crystal system ... monoclinic
Magnetic moment ... 0.09 μB/cell
DOS(E_F) ... 0.00 states/eV/f.u.
Total energy ... -68.05 eV/f.u.